Entry 1:
Below is a relaxed BaEuCuNi crystal, with properties calculated at the PBE level.

```
BaEuCuNi
1.0
0.000 3.725 3.725
3.725 0.000 3.725
3.725 3.725 0.000
Ba Eu Cu Ni
1 1 1 1
Cartesian
0.000 0.000 0.000
3.725 3.725 3.725
1.863 1.863 1.863
5.588 5.588 5.588
```

Computed properties:
- Energy of formation from the pure elements: 0.092 eV per atom

Entry 2:
Below is a relaxed Be2CdIr crystal, with properties calculated at the PBE level.

```
Be2CdIr
1.0
2.830 0.000 0.000
0.000 3.726 0.000
-1.410 0.000 4.884
Be Cd Ir
2 1 1
Cartesian
0.000 0.000 0.000
-0.008 1.863 1.204
1.409 0.000 2.384
-0.001 1.863 4.259
```

Computed properties:
- Energy of formation from the pure elements: -0.078 eV per atom

Entry 3:
Below is a relaxed Cd2NiP crystal, with properties calculated at the PBE level.

```
Cd2NiP
1.0
4.043 0.000 0.000
0.000 3.664 0.000
-1.678 0.000 4.847
Cd Ni P
2 1 1
Cartesian
0.000 0.000 0.000
0.107 1.832 3.019
1.998 1.832 0.893
2.092 0.000 2.086
```

Computed properties:
- Energy of formation from the pure elements: -0.029 eV per atom